A plane-wave DFT calculation with PBE was carried out for a geometry-optimized AcPr2SmEr5 structure.

Lattice parameters (Å, degrees): 10.030 10.030 10.030 127.88 127.88 76.82
Element x y z (fractional)
Ac  0.250  0.250  0.000
Ac  0.750  0.750  0.000
Pr  0.118  0.618  0.735
Pr  0.382  0.118  0.500
Pr  0.618  0.882  0.500
Pr  0.882  0.382  0.265
Sm  0.250  0.750  0.500
Sm  0.750  0.250  0.500
Er  0.000  0.000  0.000
Er  0.074  0.158  0.500
Er  0.158  0.658  0.085
Er  0.342  0.426  0.500
Er  0.426  0.926  0.085
Er  0.500  0.500  0.000
Er  0.574  0.074  0.915
Er  0.658  0.574  0.500
Er  0.842  0.342  0.915
Er  0.926  0.842  0.500

Summary:
**Calculated volume**: 610 Å³ per cell
**DOS(E_F)**: 18.61 states/eV/cell
**Mass density**: 8.14 g/cm³
**Energy relative to the elements**: 0.250 eV per atom
**SG**: I4/mcm (140)

---

A plane-wave DFT calculation with PBE was carried out for a geometry-optimized Y2TmFe structure.

Lattice parameters (Å, degrees): 3.364 3.364 8.953 90.00 90.00 90.00
Element x y z (fractional)
Y  0.000  0.000  0.181
Y  0.000  0.000  0.819
Tm  0.500  0.500  0.500
Fe  0.500  0.500  0.000

Summary:
**Excess energy over the best structure of this formula in the dataset**: 140 meV per atom
**Calculated volume**: 101 Å³ per cell
**DOS(E_F)**: 4.50 states/eV/cell
**Mass density**: 6.60 g/cm³
**Energy relative to the elements**: 0.131 eV per atom
**SG**: P4/mmm (123)

---

A plane-wave DFT calculation with PBE was carried out for a geometry-optimized SrSi2Au structure.

Lattice parameters (Å, degrees): 5.369 5.369 5.369 131.36 131.36 71.24
Element x y z (fractional)
Sr  0.000  0.000  0.000
Si  0.500  0.500  0.000
Si  0.750  0.250  0.500
Au  0.250  0.750  0.500

Summary:
**Calculated volume**: 85 Å³ per cell
**ΔE_f (raw)**: 71 meV per atom
**DOS(E_F)**: 1.50 states/eV/cell
**Mass density**: 6.63 g/cm³
**SG**: I-4m2 (119)

---

A plane-wave DFT calculation with PBE was carried out for a geometry-optimized ThZn2Cd3 structure.

Lattice parameters (Å, degrees): 8.636 8.636 7.907 116.28 116.28 30.24
Element x y z (fractional)
Th  0.139  0.139  0.067
Th  0.861  0.861  0.933
Zn  0.215  0.215  0.750
Zn  0.483  0.483  0.836
Zn  0.517  0.517  0.164
Zn  0.785  0.785  0.250
Cd  0.046  0.046  0.382
Cd  0.313  0.313  0.549
Cd  0.382  0.382  0.267
Cd  0.618  0.618  0.733
Cd  0.687  0.687  0.451
Cd  0.954  0.954  0.618

Summary:
**Calculated volume**: 264 Å³ per cell
**DOS(E_F)**: 5.23 states/eV/cell
**Mass density**: 8.81 g/cm³
**Energy relative to the elements**: -0.149 eV per atom
**SG**: C2/m (12)

---

A plane-wave DFT calculation with PBE was carried out for a geometry-optimized Zr3UCo8 structure.

Lattice parameters (Å, degrees): 8.472 8.472 8.472 33.55 33.55 33.55
Element x y z (fractional)
Zr  0.000  0.000  0.000
Zr  0.125  0.125  0.125
Zr  0.627  0.627  0.627
U  0.501  0.501  0.501
Co  0.063  0.063  0.562
Co  0.063  0.562  0.063
Co  0.063  0.562  0.562
Co  0.313  0.313  0.313
Co  0.562  0.063  0.063
Co  0.562  0.063  0.562
Co  0.562  0.562  0.063
Co  0.813  0.813  0.813

Summary:
**Calculated volume**: 165 Å³ per cell
**DOS(E_F)**: 18.75 states/eV/cell
**Mass density**: 9.87 g/cm³
**Energy relative to the elements**: -0.260 eV per atom
**SG**: R3m (160)

---

A plane-wave DFT calculation with PBE was carried out for a geometry-optimized CeTmH2 structure.

Lattice parameters (Å, degrees): 6.128 6.128 6.128 32.63 32.63 32.63
Element x y z (fractional)
Ce  0.000  0.000  0.000
Tm  0.500  0.500  0.500
H  0.245  0.245  0.245
H  0.755  0.755  0.755

Summary:
**Excess energy over the best structure of this formula in the dataset**: 0 meV per atom
**Calculated volume**: 59 Å³ per cell
**DOS(E_F)**: 5.27 states/eV/cell
**Mass density**: 8.68 g/cm³
**SG**: R-3m (166)

---

A plane-wave DFT calculation with PBE was carried out for a geometry-optimized SmBN2 structure.

Lattice parameters (Å, degrees): 6.081 5.021 7.332 90.00 120.89 90.00
Element x y z (fractional)
Sm  0.185  0.247  0.436
Sm  0.185  0.253  0.936
Sm  0.815  0.747  0.064
Sm  0.815  0.753  0.564
B  0.364  0.747  0.648
B  0.364  0.753  0.148
B  0.636  0.247  0.852
B  0.636  0.253  0.352
N  0.118  0.750  0.448
N  0.118  0.750  0.948
N  0.492  0.005  0.253
N  0.492  0.495  0.753
N  0.508  0.505  0.247
N  0.508  0.995  0.747
N  0.882  0.250  0.052
N  0.882  0.250  0.552

Summary:
**Excess energy over the best structure of this formula in the dataset**: 90 meV per atom
**Calculated volume**: 192 Å³ per cell
**ΔE_f (raw)**: -1299 meV per atom
**Mass density**: 6.54 g/cm³
**SG**: P2_1/c (14)